Material: SmFeCoSi3
Method: DFT, PBE
State: optimized geometry

Unit cell a=5.8090 b=5.9972 c=6.4474 alpha=117.72 beta=90.00 gamma=90.00
Closest atoms and distances in Å follow each position.
Positions (direct):
Co 0.2500 0.3962 0.7924  5 Si 2.09-2.26
Co 0.7500 0.6038 0.2076  5 Si 2.09-2.26
Sm 0.2500 0.7632 0.5264  4 Si 2.92-3.05, 1 Fe 3.03
Sm 0.7500 0.2368 0.4736  4 Si 2.92-3.05, 1 Fe 3.03
Si 0.2500 0.2127 0.4254  1 Co 2.09, 1 Fe 2.10
Si 0.7500 0.7873 0.5746  1 Co 2.09, 1 Fe 2.10
Si 0.0000 0.7094 0.0000  2 Co 2.26, 2 Fe 2.29, 1 Si 2.51
Si 0.5000 0.7094 0.0000  2 Co 2.26, 2 Fe 2.29, 1 Si 2.51
Si 0.5000 0.2906 0.0000  2 Co 2.26, 2 Fe 2.29, 1 Si 2.51
Si 0.0000 0.2906 0.0000  2 Co 2.26, 2 Fe 2.29, 1 Si 2.51
Fe 0.7500 0.9716 0.9432  5 Si 2.10-2.29
Fe 0.2500 0.0284 0.0568  5 Si 2.10-2.29

Values from the calculation:
Its total energy is -6.478 eV/atom. Its space group is Cmcm, No. 63.